CoMo3 PBE optimized geometry; total magnetization = 1.8 μB/cell; energy relative to the elements = 137.9 meV per atom; uncorrected energy = -9.76 eV per atom
1.0
5.155 -0.003 -0.012
-2.347 4.589 -0.012
-2.347 -3.834 2.522
Co Mo
1 3
Direct
0.000 0.000 0.000
0.000 0.500 0.500
0.500 0.000 0.500
0.500 0.500 0.000